[1]
The following is a PBE-GGA calculation of a relaxed ErTh2UN4 crystal, from Alexandria via LeMat-Bulk.

Output
Its raw formation energy is -1.5407 eV per atom. The final energy is -9.54 eV per atom. For the calculated density, the calculation gives 12.3 g cm⁻³.

a = 6.0749 Å, b = 3.5309 Å, c = 6.1797 Å
α = 90.00°, β = 108.98°, γ = 90.00°
Last column: nearest neighbours and their distance in Å.
Space group P2/m (No. 10)
Asymmetric unit:
Er  0.0000  0.0000  0.0000 (multiplicity 1)  6 N 2.42-2.45
Th  0.0000  0.5000  0.5000 (multiplicity 1)  6 N 2.63-2.66
Th  0.5000  0.0000  0.5000 (multiplicity 1)  6 N 2.57-2.58
U  0.5000  0.5000  0.0000 (multiplicity 1)  6 N 2.33-2.39
N  0.2546  0.5000  0.2223 (multiplicity 2)  1 U 2.33, 2 Er 2.45, 2 Th 2.57
N  0.2661  0.0000  0.7812 (multiplicity 2)  2 U 2.39, 1 Er 2.42, 3 Th 2.58-2.63

***

[2]
The following is a PBE-GGA calculation of a relaxed KTc2Te crystal, from Alexandria via LeMat-Bulk.

Output
Its raw formation energy is 0.2583 eV per atom. The final energy is -5.98 eV per atom. For the calculated density, the calculation gives 5.6 g cm⁻³.

a = 4.2151 Å, b = 4.2151 Å, c = 21.0113 Å
α = 90.00°, β = 90.00°, γ = 120.00°
Last column: nearest neighbours and their distance in Å.
Space group R3m (No. 160, hexagonal axes)
Asymmetric unit:
K  0.0000  0.0000  0.0000 (multiplicity 3)  6 Tc 3.57-3.90, 3 Te 3.60
Tc  0.0000  0.0000  0.2092 (multiplicity 3)  3 Tc 2.47
Tc  0.0000  0.0000  0.5218 (multiplicity 3)  3 Tc 2.47, 3 Te 2.76
Te  0.0000  0.0000  0.7931 (multiplicity 3)  6 Tc 2.76-2.99

***

[3]
The following is a PBE-GGA calculation of a relaxed HfMg2Os crystal, from Alexandria via LeMat-Bulk.

Output
The final energy is -5.81 eV per atom. As for the distance to the lowest polymorph of the same formula: 0.000 eV per atom. For the calculated density, the calculation gives 9.9 g cm⁻³.

a = 6.5446 Å, b = 6.5446 Å, c = 6.5446 Å
α = 90.00°, β = 90.00°, γ = 90.00°
Last column: nearest neighbours and their distance in Å.
Space group Fm-3m (No. 225)
Asymmetric unit:
Hf  0.0000  0.0000  0.0000 (multiplicity 4)  8 Mg 2.83
Mg  0.2500  0.2500  0.2500 (multiplicity 8)  4 Hf 2.83, 4 Os 2.83
Os  0.0000  0.0000  0.5000 (multiplicity 4)  8 Mg 2.83

***

[4]
The following is a PBE-GGA calculation of a relaxed Nd3SmSn2 crystal, from Alexandria via LeMat-Bulk.

Output
The final energy is -4.85 eV per atom. As for the distance to the lowest polymorph of the same formula: 0.237 eV per atom. For the calculated density, the calculation gives 6.3 g cm⁻³.

a = 7.4466 Å, b = 14.8983 Å, c = 7.8283 Å
α = 90.00°, β = 90.00°, γ = 90.00°
Last column: nearest neighbours and their distance in Å.
Space group Ibam (No. 72)
Asymmetric unit:
Nd  0.0000  0.0000  0.2500 (multiplicity 4)  4 Sn 3.19
Nd  0.0000  0.2869  0.2500 (multiplicity 8)  4 Sn 3.23-3.24
Sm  0.0000  0.5000  0.0000 (multiplicity 4)  2 Sn 3.15
Sn  0.1852  0.1411  0.0000 (multiplicity 8)  1 Sm 3.15, 6 Nd 3.19-3.24

***

[5]
The following is a PBE-GGA calculation of a relaxed Zr2CuCl crystal, from Alexandria via LeMat-Bulk.

Output
Its raw formation energy is -0.2958 eV per atom. The final energy is -6.06 eV per atom. As for the distance to the lowest polymorph of the same formula: 0.096 eV per atom. For the calculated density, the calculation gives 6.1 g cm⁻³.

a = 3.1949 Å, b = 3.1949 Å, c = 25.8491 Å
α = 90.00°, β = 90.00°, γ = 120.00°
Last column: nearest neighbours and their distance in Å.
Space group R-3m (No. 166, hexagonal axes)
Asymmetric unit:
Zr  0.0000  0.0000  0.2474 (multiplicity 6)  3 Cu 2.79, 3 Cl 2.89
Cu  0.0000  0.0000  0.5000 (multiplicity 3)  6 Zr 2.79
Cl  0.0000  0.0000  0.0000 (multiplicity 3)  6 Zr 2.89, 6 Cl 3.19

***

[6]
The following is a PBE-GGA calculation of a relaxed BePdSe crystal, from Alexandria via LeMat-Bulk.

Output
Its raw formation energy is -0.3180 eV per atom. The final energy is -4.45 eV per atom. For the calculated density, the calculation gives 5.9 g cm⁻³.

a = 8.0813 Å, b = 8.0942 Å, c = 3.8181 Å
α = 90.00°, β = 118.08°, γ = 90.00°
Last column: nearest neighbours and their distance in Å.
Space group Cc (No. 9)
Asymmetric unit:
Be  0.0000  0.1167  0.0000 (multiplicity 4)  2 Se 2.18-2.26, 3 Pd 2.32-2.33
Pd  0.1842  0.1203  0.6832 (multiplicity 4)  3 Be 2.32-2.33, 2 Se 2.58
Se  0.1988  0.3340  0.1975 (multiplicity 4)  2 Be 2.18-2.26

***

[7]
The following is a PBE-GGA calculation of a relaxed Tb2PrSmTl2 crystal, from Alexandria via LeMat-Bulk.

Output
The final energy is -4.19 eV per atom. For the calculated density, the calculation gives 9.3 g cm⁻³.

a = 5.1847 Å, b = 10.2140 Å, c = 6.8691 Å
α = 90.00°, β = 90.00°, γ = 90.00°
Last column: nearest neighbours and their distance in Å.
Space group Pmc2_1 (No. 26)
Asymmetric unit:
Tb  0.0000  0.0424  0.0000 (multiplicity 2)  5 Tl 3.25-3.56, 4 Tb 3.53-3.54
Tb  0.5000  0.1820  0.2806 (multiplicity 2)  4 Tl 3.19-3.25, 2 Tb 3.53
Pr  0.5000  0.4575  0.9041 (multiplicity 2)  5 Tl 3.32-3.60, 2 Sm 3.52, 2 Pr 3.54
Sm  0.0000  0.3108  0.6336 (multiplicity 2)  4 Tl 3.25-3.39, 2 Pr 3.52
Tl  0.0000  0.3576  0.1660 (multiplicity 2)  2 Sm 3.25-3.39, 3 Tb 3.25-3.42, 4 Pr 3.32-3.60
Tl  0.5000  0.1292  0.7458 (multiplicity 2)  6 Tb 3.19-3.56, 2 Sm 3.28, 1 Pr 3.53

***

[8]
The following is a PBE-GGA calculation of a relaxed Sc5In2CoPt2 crystal, from Alexandria via LeMat-Bulk.

Output
The final energy is -6.32 eV per atom. For the calculated density, the calculation gives 7.4 g cm⁻³.

a = 11.1684 Å, b = 11.1684 Å, c = 3.2525 Å
α = 90.00°, β = 90.00°, γ = 90.00°
Last column: nearest neighbours and their distance in Å.
Space group P4/mbm (No. 127)
Asymmetric unit:
Sc  0.0000  0.5000  0.0000 (multiplicity 2)  4 Pt 2.69
Sc  0.0636  0.1853  0.0000 (multiplicity 8)  2 Pt 2.70, 2 Co 2.73
In  0.1740  0.6740  0.5000 (multiplicity 4)  1 Pt 3.01, 6 Sc 3.19-3.35, 2 In 3.25
Co  0.0000  0.0000  0.5000 (multiplicity 2)  8 Sc 2.73
Pt  0.1353  0.3647  0.5000 (multiplicity 4)  6 Sc 2.69-2.70

***

no.,Fermi-level density of states (states/eV/cell)
1,5.27
2,4.57
3,15.44
4,34.05
5,5.01
6,0.42
7,12.67
8,10.46